# 1
# BaPbBr2 (PBE, relaxed)
# Energy relative to the lowest polymorph listed for this composition: 11 meV/atom
# E_form (uncorrected): -1.14 eV/atom
data_BaPbBr2
_cell_length_a 4.171
_cell_length_b 4.969
_cell_length_c 13.719
_cell_angle_alpha 90.00
_cell_angle_beta 90.00
_cell_angle_gamma 90.00
_symmetry_space_group_name_H-M 'I m m 2'
_symmetry_Int_Tables_number 44
loop_
_symmetry_equiv_pos_as_xyz
'x,y,z'
'-x,-y,z'
'-x,y,z'
'x,-y,z'
'x+1/2,y+1/2,z+1/2'
'-x+1/2,-y+1/2,z+1/2'
'-x+1/2,y+1/2,z+1/2'
'x+1/2,-y+1/2,z+1/2'
loop_
_atom_site_label
_atom_site_fract_x
_atom_site_fract_y
_atom_site_fract_z
Ba1 0.000 0.000 0.000
Pb1 0.000 0.500 0.234
Br1 0.000 0.000 0.456
Br2 0.000 0.500 0.691

***

# 2
# La4Sm3Er4 (PBE, relaxed)
# Energy relative to the lowest polymorph listed for this composition: 0 meV/atom
# Formation energy: 0.027 eV per atom
data_La4Sm3Er4
_cell_length_a 3.645
_cell_length_b 5.110
_cell_length_c 39.859
_cell_angle_alpha 90.00
_cell_angle_beta 90.00
_cell_angle_gamma 90.00
_symmetry_space_group_name_H-M 'I m m m'
_symmetry_Int_Tables_number 71
_symmetry_space_group_name_Hall '-I 2 2'
loop_
_atom_site_label
_atom_site_fract_x
_atom_site_fract_y
_atom_site_fract_z
La1 0.000 0.000 0.046
La2 0.000 0.000 0.317
Sm1 0.000 0.000 0.136
Sm2 0.000 0.000 0.500
Er1 0.000 0.000 0.229
Er2 0.000 0.000 0.408

***

# 3
# Ho4TlGaC (PBE, relaxed)
# Formation energy: -0.381 eV per atom
data_Ho4TlGaC
_cell_length_a 6.911
_cell_length_b 14.644
_cell_length_c 6.916
_cell_angle_alpha 90.00
_cell_angle_beta 90.00
_cell_angle_gamma 90.00
_symmetry_space_group_name_H-M 'C m c m'
_symmetry_Int_Tables_number 63
_symmetry_space_group_name_Hall '-C 2c 2'
loop_
_atom_site_label
_atom_site_fract_x
_atom_site_fract_y
_atom_site_fract_z
Ho1 0.000 0.080 0.250
Ho2 0.000 0.413 0.250
Ho3 0.250 0.250 0.000
Tl1 0.000 0.382 0.750
Ga1 0.000 0.126 0.750
C1 0.000 0.248 0.250

***

# 4
# Ac2W2N7 (PBE, relaxed)
# E_form (uncorrected): -0.64 eV/atom
data_Ac2W2N7
_cell_length_a 5.006
_cell_length_b 6.229
_cell_length_c 6.691
_cell_angle_alpha 80.03
_cell_angle_beta 73.89
_cell_angle_gamma 84.72
_symmetry_space_group_name_H-M 'P -1'
_symmetry_Int_Tables_number 2
loop_
_symmetry_equiv_pos_as_xyz
'x,y,z'
'-x,-y,-z'
loop_
_atom_site_label
_atom_site_fract_x
_atom_site_fract_y
_atom_site_fract_z
Ac1 0.151 0.349 0.249
W1 0.496 0.797 0.254
N1 0.143 0.711 0.365
N2 0.319 0.451 0.836
N3 0.416 0.091 0.503
N4 0.500 0.000 0.000

***

# 5
# FeNiAg3 (PBE, relaxed)
# Energy relative to the lowest polymorph listed for this composition: 0 meV/atom
# Formation energy: 1.158 eV per atom
data_FeNiAg3
_cell_length_a 4.726
_cell_length_b 4.726
_cell_length_c 4.726
_cell_angle_alpha 90.00
_cell_angle_beta 90.00
_cell_angle_gamma 90.00
_symmetry_space_group_name_H-M 'P m -3 m'
_symmetry_Int_Tables_number 221
_symmetry_space_group_name_Hall '-P 4 2 3'
loop_
_atom_site_label
_atom_site_fract_x
_atom_site_fract_y
_atom_site_fract_z
Fe1 0.000 0.000 0.000
Ni1 0.500 0.500 0.500
Ag1 0.000 0.500 0.500

***

# 6
# Ti3Se3N (PBE, relaxed)
# E_form (uncorrected): -1.26 eV/atom
data_Ti3Se3N
_cell_length_a 7.127
_cell_length_b 3.364
_cell_length_c 9.953
_cell_angle_alpha 90.00
_cell_angle_beta 90.95
_cell_angle_gamma 90.00
_symmetry_space_group_name_H-M 'P 1 21/m 1'
_symmetry_Int_Tables_number 11
loop_
_symmetry_equiv_pos_as_xyz
'x,y,z'
'-x,-y,-z'
'-x,y+1/2,-z'
'x,-y+1/2,z'
loop_
_atom_site_label
_atom_site_fract_x
_atom_site_fract_y
_atom_site_fract_z
Ti1 0.089 0.250 0.398
Ti2 0.114 0.250 0.821
Ti3 0.302 0.750 0.615
Se1 0.139 0.250 0.131
Se2 0.370 0.750 0.865
Se3 0.377 0.750 0.372
N1 0.114 0.250 0.613

***

# 7
# BaCu2Pt2 (PBE, relaxed)
# Energy relative to the lowest polymorph listed for this composition: 181 meV/atom
# Formation energy: -0.117 eV per atom
data_BaCu2Pt2
_cell_length_a 7.810
_cell_length_b 7.810
_cell_length_c 3.004
_cell_angle_alpha 90.00
_cell_angle_beta 90.00
_cell_angle_gamma 90.00
_symmetry_space_group_name_H-M 'P 4/m b m'
_symmetry_Int_Tables_number 127
_symmetry_space_group_name_Hall '-P 4 2ab'
loop_
_atom_site_label
_atom_site_fract_x
_atom_site_fract_y
_atom_site_fract_z
Ba1 0.000 0.000 0.000
Cu1 0.156 0.344 0.500
Pt1 0.133 0.633 0.000

***

# 8
# Ti7Nb2Sb2 (PBE, relaxed)
# E_form (uncorrected): 0.18 eV/atom
data_Ti7Nb2Sb2
_cell_length_a 5.900
_cell_length_b 10.008
_cell_length_c 7.240
_cell_angle_alpha 90.00
_cell_angle_beta 102.80
_cell_angle_gamma 90.00
_symmetry_space_group_name_H-M 'C 1 2/m 1'
_symmetry_Int_Tables_number 12
loop_
_symmetry_equiv_pos_as_xyz
'x,y,z'
'-x,-y,-z'
'-x,y,-z'
'x,-y,z'
'x+1/2,y+1/2,z'
'-x+1/2,-y+1/2,-z'
'-x+1/2,y+1/2,-z'
'x+1/2,-y+1/2,z'
loop_
_atom_site_label
_atom_site_fract_x
_atom_site_fract_y
_atom_site_fract_z
Ti1 0.000 0.000 0.000
Ti2 0.166 0.237 0.169
Ti3 0.186 0.500 0.631
Nb1 0.173 0.500 0.193
Sb1 0.000 0.173 0.500

***

# 9
# V4Mo4W5 (PBE, relaxed)
# Formation energy: -0.087 eV per atom
data_V4Mo4W5
_cell_length_a 12.891
_cell_length_b 4.420
_cell_length_c 8.102
_cell_angle_alpha 90.00
_cell_angle_beta 120.80
_cell_angle_gamma 90.00
_symmetry_space_group_name_H-M 'C 1 2/m 1'
_symmetry_Int_Tables_number 12
loop_
_symmetry_equiv_pos_as_xyz
'x,y,z'
'-x,-y,-z'
'-x,y,-z'
'x,-y,z'
'x+1/2,y+1/2,z'
'-x+1/2,-y+1/2,-z'
'-x+1/2,y+1/2,-z'
'x+1/2,-y+1/2,z'
loop_
_atom_site_label
_atom_site_fract_x
_atom_site_fract_y
_atom_site_fract_z
V1 0.075 0.000 0.188
V2 0.114 0.500 0.040
Mo1 0.152 0.000 0.888
Mo2 0.232 0.000 0.578
W1 0.000 0.000 0.500
W2 0.038 0.500 0.340
W3 0.194 0.500 0.734

***

# 10
# PmPrIrAu (PBE, relaxed)
# Energy relative to the lowest polymorph listed for this composition: 0 meV/atom
# Formation energy: -0.716 eV per atom
data_PmPrIrAu
_cell_length_a 4.603
_cell_length_b 3.975
_cell_length_c 10.874
_cell_angle_alpha 90.00
_cell_angle_beta 90.00
_cell_angle_gamma 90.00
_symmetry_space_group_name_H-M 'A m m 2'
_symmetry_Int_Tables_number 38
loop_
_symmetry_equiv_pos_as_xyz
'x,y,z'
'-x,-y,z'
'-x,y,z'
'x,-y,z'
'x,y+1/2,z+1/2'
'-x,-y+1/2,z+1/2'
'-x,y+1/2,z+1/2'
'x,-y+1/2,z+1/2'
loop_
_atom_site_label
_atom_site_fract_x
_atom_site_fract_y
_atom_site_fract_z
Pm1 0.000 0.000 0.000
Pr1 0.500 0.000 0.278
Ir1 0.500 0.000 0.547
Au1 0.000 0.000 0.718

***

# 11
# ZnSbPd4 (PBE, relaxed)
# E_form (uncorrected): -0.37 eV/atom
data_ZnSbPd4
_cell_length_a 9.767
_cell_length_b 3.466
_cell_length_c 6.012
_cell_angle_alpha 90.00
_cell_angle_beta 107.95
_cell_angle_gamma 90.00
_symmetry_space_group_name_H-M 'C 1 2/m 1'
_symmetry_Int_Tables_number 12
loop_
_symmetry_equiv_pos_as_xyz
'x,y,z'
'-x,-y,-z'
'-x,y,-z'
'x,-y,z'
'x+1/2,y+1/2,z'
'-x+1/2,-y+1/2,-z'
'-x+1/2,y+1/2,-z'
'x+1/2,-y+1/2,z'
loop_
_atom_site_label
_atom_site_fract_x
_atom_site_fract_y
_atom_site_fract_z
Zn1 0.000 0.000 0.000
Sb1 0.000 0.000 0.500
Pd1 0.157 0.500 0.320
Pd2 0.157 0.500 0.835

***

# 12
# BaHoCdPb (PBE, relaxed)
# Formation energy: -0.296 eV per atom
data_BaHoCdPb
_cell_length_a 8.047
_cell_length_b 8.047
_cell_length_c 8.047
_cell_angle_alpha 90.00
_cell_angle_beta 90.00
_cell_angle_gamma 90.00
_symmetry_space_group_name_H-M 'F -4 3 m'
_symmetry_Int_Tables_number 216
_symmetry_space_group_name_Hall 'F -4 2 3'
loop_
_atom_site_label
_atom_site_fract_x
_atom_site_fract_y
_atom_site_fract_z
Ba1 0.000 0.000 0.000
Ho1 0.000 0.000 0.500
Cd1 0.250 0.250 0.750
Pb1 0.250 0.250 0.250

***

no.,total DFT energy (no corrections) (eV for the cell shown)
1,-27.037
2,-103.654
3,-142.381
4,-99.491
5,-17.007
6,-102.510
7,-45.562
8,-163.345
9,-291.392
10,-49.064
11,-56.803
12,-49.235